1.
# Tl3In3PbBr8 GGA-PBE optimized geometry
data_Tl3In3PbBr8
_cell_length_a 16.3912
_cell_length_b 9.4579
_cell_length_c 9.5014
_cell_angle_alpha 90.00
_cell_angle_beta 125.14
_cell_angle_gamma 90.00
_symmetry_space_group_name_H-M 'C 1 2/m 1'
_symmetry_Int_Tables_number 12
_symmetry_space_group_name_Hall '-C 2y'
loop_
_atom_site_label
_atom_site_type_symbol
_atom_site_fract_x
_atom_site_fract_y
_atom_site_fract_z
Tl1 Tl 0.0000 0.0000 0.0000
Tl2 Tl 0.2500 0.2500 0.0000
In1 In 0.0000 0.5000 0.5000
In2 In 0.2500 0.2500 0.5000
Pb1 Pb 0.0000 0.0000 0.5000
Br1 Br 0.0009 0.2310 0.2719
Br2 Br 0.2301 0.0000 0.7283
Br3 Br 0.2490 0.5000 0.7468
# * E_form (uncorrected): -0.79 eV per atom

=====

2.
# CsCa3W GGA-PBE optimized geometry
data_CsCa3W
_cell_length_a 5.5703
_cell_length_b 5.5703
_cell_length_c 5.5703
_cell_angle_alpha 90.00
_cell_angle_beta 90.00
_cell_angle_gamma 90.00
_symmetry_space_group_name_H-M 'P m -3 m'
_symmetry_Int_Tables_number 221
_symmetry_space_group_name_Hall '-P 4 2 3'
loop_
_atom_site_label
_atom_site_type_symbol
_atom_site_fract_x
_atom_site_fract_y
_atom_site_fract_z
Cs1 Cs 0.0000 0.0000 0.0000
Ca1 Ca 0.0000 0.0000 0.5000
W1 W 0.5000 0.5000 0.5000
# * DFT formation energy: 1067.3 kJ/mol of formula units

=====

3.
# LuZnSnRh GGA-PBE optimized geometry
data_LuZnSnRh
_cell_length_a 6.6644
_cell_length_b 6.6644
_cell_length_c 6.6644
_cell_angle_alpha 90.00
_cell_angle_beta 90.00
_cell_angle_gamma 90.00
_symmetry_space_group_name_H-M 'F -4 3 m'
_symmetry_Int_Tables_number 216
_symmetry_space_group_name_Hall 'F -4 2 3'
loop_
_atom_site_label
_atom_site_type_symbol
_atom_site_fract_x
_atom_site_fract_y
_atom_site_fract_z
Lu1 Lu 0.0000 0.0000 0.0000
Zn1 Zn 0.2500 0.2500 0.7500
Sn1 Sn 0.0000 0.0000 0.5000
Rh1 Rh 0.2500 0.2500 0.2500
# * DFT formation energy: -201.6 kJ/mol of formula units

=====

4.
# ZnCrH GGA-PBE optimized geometry
data_ZnCrH
_cell_length_a 2.7593
_cell_length_b 2.7593
_cell_length_c 26.0886
_cell_angle_alpha 90.00
_cell_angle_beta 90.00
_cell_angle_gamma 120.00
_symmetry_space_group_name_H-M 'R -3 m'
_symmetry_Int_Tables_number 166
_symmetry_space_group_name_Hall '-R 3 2"'
loop_
_atom_site_label
_atom_site_type_symbol
_atom_site_fract_x
_atom_site_fract_y
_atom_site_fract_z
Zn1 Zn 0.0000 0.0000 0.1254
Cr1 Cr 0.0000 0.0000 0.2973
H1 H 0.0000 0.0000 0.3970
# * VASP energy: -4.62 eV/atom

=====

Number 1: DOS at the Fermi energy 0.00 states/eV/cell. Number 2: DOS at the Fermi energy 13.35 states/eV/cell. Number 3: DOS at the Fermi energy 10.09 states/eV/cell. Number 4: DOS at the Fermi energy 12.65 states/eV/cell.